Below is an optimized crystal structure of AlAg2SbTe4, with properties calculated at the PBE level.

The space group is P1 (No. 1) and the conventional cell measures 6.549, 6.550 and 7.955 Å, with angles of 65.81, 65.79 and 89.99 degrees. The distinct sites, in fractional coordinates, are Al at (0.000, 0.000, 0.000), Ag at (0.500, 0.500, 0.000), Ag at (0.750, 0.250, 0.500), Sb at (0.250, 0.750, 0.500), Te at (0.111, 0.138, 0.228), Te at (0.366, 0.889, 0.771), Te at (0.662, 0.634, 0.228) and Te at (0.862, 0.339, 0.772).

The uncorrected formation energy is -118 kJ/mol of formula units. The calculation puts the total energy at -3.42 eV per atom. As for the size of the total moment: 0.00 μB/atom.

Below is an optimized crystal structure of GaReH, with properties calculated at the PBE level.

The space group is R3m (No. 160, hexagonal axes) and the conventional cell measures 2.7130, 2.7130 and 18.0229 Å, with angles of 90.00, 90.00 and 120.00 degrees. The distinct sites, in fractional coordinates, are Ga at (0.0000, 0.0000, 0.0000), Re at (0.0000, 0.0000, 0.2023) and H at (0.0000, 0.0000, 0.1058).

The calculation puts the total energy at -5.86 eV per atom. As for the size of the total moment: 0.00 μB/atom. As for the polymorph energy (0 for the lowest one): 210 meV/atom.

Below is an optimized crystal structure of La2TaGe3Ir4, with properties calculated at the PBE level.

The space group is P-4m2 (No. 115) and the conventional cell measures 4.262, 4.262 and 10.682 Å, with angles of 90.00, 90.00 and 90.00 degrees. The distinct sites, in fractional coordinates, are La at (0.000, 0.500, 0.243), Ta at (0.000, 0.000, 0.500), Ge at (0.000, 0.500, 0.873), Ge at (0.500, 0.500, 0.500), Ir at (0.000, 0.000, 0.000), Ir at (0.000, 0.500, 0.637) and Ir at (0.500, 0.500, 0.000).

The calculation puts the total energy at -7.87 eV per atom. The energy relative to the elements comes out at -0.769 eV per atom. As for the size of the total moment: 0.00 μB/atom.

Below is an optimized crystal structure of Nd2ZnAu3, with properties calculated at the PBE level.

The space group is Fmmm (No. 69) and the conventional cell measures 7.308, 9.410 and 16.136 Å, with angles of 90.00, 90.00 and 90.00 degrees. The distinct sites, in fractional coordinates, are Nd at (0.245, 0.000, 0.000), Nd at (0.250, 0.250, 0.250), Zn at (0.000, 0.000, 0.333), Au at (0.000, 0.000, 0.171) and Au at (0.000, 0.239, 0.413).

The calculation puts the total energy at -4.16 eV per atom. The energy relative to the elements comes out at -0.716 eV per atom. As for the size of the total moment: 0.00 μB/atom. As for the polymorph energy (0 for the lowest one): 4 meV/atom.

Below is an optimized crystal structure of Cs2MgF, with properties calculated at the PBE level.

The space group is I-42d (No. 122) and the conventional cell measures 8.925, 8.925 and 10.571 Å, with angles of 90.00, 90.00 and 90.00 degrees. The distinct sites, in fractional coordinates, are Cs at (0.125, 0.750, 0.125), Mg at (0.000, 0.000, 0.500) and F at (0.000, 0.000, 0.000).

The uncorrected formation energy is -417 kJ/mol of formula units. The calculation puts the total energy at -2.37 eV per atom. As for the size of the total moment: 0.00 μB/atom. As for the polymorph energy (0 for the lowest one): 122 meV/atom.

Below is an optimized crystal structure of Er8Tm3Th3, with properties calculated at the PBE level.

The space group is Immm (No. 71) and the conventional cell measures 5.591, 10.593 and 14.822 Å, with angles of 90.00, 90.00 and 90.00 degrees. The distinct sites, in fractional coordinates, are Er at (0.000, 0.159, 0.103), Er at (0.000, 0.341, 0.278), Tm at (0.000, 0.195, 0.500), Tm at (0.000, 0.500, 0.500), Th at (0.000, 0.000, 0.315) and Th at (0.000, 0.500, 0.000).

The calculation puts the total energy at -5.00 eV per atom. The energy relative to the elements comes out at 0.152 eV per atom. As for the size of the total moment: 0.00 μB/atom.

Below is an optimized crystal structure of La4Pr3In2, with properties calculated at the PBE level.

The space group is C2/m (No. 12) and the conventional cell measures 11.491, 4.964 and 10.864 Å, with angles of 90.00, 109.25 and 90.00 degrees. The distinct sites, in fractional coordinates, are La at (0.011, 0.000, 0.178), La at (0.169, 0.500, 0.389), Pr at (0.000, 0.000, 0.500), Pr at (0.172, 0.500, 0.052) and In at (0.162, 0.500, 0.719).

The calculation puts the total energy at -4.63 eV per atom. The energy relative to the elements comes out at -0.238 eV per atom. As for the size of the total moment: 0.00 μB/atom. As for the polymorph energy (0 for the lowest one): 0 meV/atom.

Below is an optimized crystal structure of Mg2BeCr, with properties calculated at the PBE level.

The space group is Pm (No. 6) and the conventional cell measures 3.068, 3.218 and 7.044 Å, with angles of 90.00, 102.49 and 90.00 degrees. The distinct sites, in fractional coordinates, are Mg at (0.000, 0.000, 0.000), Mg at (0.339, 0.500, 0.673), Be at (0.153, 0.500, 0.297) and Cr at (0.701, 0.000, 0.394).

The calculation puts the total energy at -3.77 eV per atom. The energy relative to the elements comes out at 0.365 eV per atom. As for the size of the total moment: 0.73 μB/atom.

Below is an optimized crystal structure of NaBe2Se, with properties calculated at the PBE level.

The space group is I-42d (No. 122) and the conventional cell measures 7.286, 7.286 and 5.351 Å, with angles of 90.00, 90.00 and 90.00 degrees. The distinct sites, in fractional coordinates, are Na at (0.000, 0.000, 0.000), Be at (0.174, 0.750, 0.625) and Se at (0.000, 0.000, 0.500).

The uncorrected formation energy is 131 kJ/mol of formula units. The calculation puts the total energy at -2.73 eV per atom. As for the size of the total moment: 0.00 μB/atom.

Below is an optimized crystal structure of ZrCrCu, with properties calculated at the PBE level.

The space group is Imma (No. 74) and the conventional cell measures 4.746, 5.176 and 7.456 Å, with angles of 90.00, 90.00 and 90.00 degrees. The distinct sites, in fractional coordinates, are Zr at (0.000, 0.250, 0.116), Cr at (0.250, 0.250, 0.750) and Cu at (0.000, 0.000, 0.500).

The calculation puts the total energy at -7.38 eV per atom. The energy relative to the elements comes out at 0.040 eV per atom. As for the size of the total moment: 0.07 μB/atom. As for the polymorph energy (0 for the lowest one): 0 meV/atom.

Below is an optimized crystal structure of LaRe2C2, with properties calculated at the PBE level.

The space group is Fddd (No. 70, origin choice 2) and the conventional cell measures 6.733, 9.091 and 9.719 Å, with angles of 90.00, 90.00 and 90.00 degrees. The distinct sites, in fractional coordinates, are La at (0.125, 0.125, 0.125), Re at (0.125, 0.125, 0.485) and C at (0.125, 0.310, 0.625).

The calculation puts the total energy at -9.66 eV per atom. The energy relative to the elements comes out at -0.009 eV per atom. As for the size of the total moment: 0.00 μB/atom.

Below is an optimized crystal structure of ZnAuSN2, with properties calculated at the PBE level.

The space group is P4/mmm (No. 123) and the conventional cell measures 3.772, 3.772 and 7.648 Å, with angles of 90.00, 90.00 and 90.00 degrees. The distinct sites, in fractional coordinates, are Zn at (0.000, 0.000, 0.000), Au at (0.500, 0.500, 0.500), S at (0.500, 0.500, 0.000) and N at (0.000, 0.500, 0.500).

The uncorrected formation energy is 782 kJ/mol of formula units. The calculation puts the total energy at -3.44 eV per atom. As for the size of the total moment: 0.18 μB/atom. As for the polymorph energy (0 for the lowest one): 77 meV/atom.

Question: Look up the size of the total moment of the third one.
Answer: 0.00 μB/atom

Please write out number 10 again, unchanged.
Below is an optimized crystal structure of ZrCrCu, with properties calculated at the PBE level.

The space group is Imma (No. 74) and the conventional cell measures 4.746, 5.176 and 7.456 Å, with angles of 90.00, 90.00 and 90.00 degrees. The distinct sites, in fractional coordinates, are Zr at (0.000, 0.250, 0.116), Cr at (0.250, 0.250, 0.750) and Cu at (0.000, 0.000, 0.500).

The calculation puts the total energy at -7.38 eV per atom. The energy relative to the elements comes out at 0.040 eV per atom. As for the size of the total moment: 0.07 μB/atom. As for the polymorph energy (0 for the lowest one): 0 meV/atom.

Question: Look up the size of the total moment of the second one.
Answer: 0.00 μB/atom